Entry a
InNiPO2, optimized geometry, DFT PBE+U; volume = 18.0 A^3/atom; crystal system = tetragonal
1.0
3.995 0.000 0.000
0.000 3.995 0.000
0.000 0.000 5.643
In Ni P O
1 1 1 2
Cartesian
0.000 0.000 0.000 In
1.998 1.998 2.821 Ni
0.000 0.000 2.821 P
0.000 1.998 0.000 O
1.998 0.000 0.000 O

***

Entry b
InNiPO2, optimized geometry, DFT PBE+U; volume = 13.8 A^3/atom; crystal system = tetragonal
1.0
3.811 0.000 0.000
0.000 3.811 0.000
0.000 0.000 4.746
In Ni P O
1 1 1 2
Cartesian
0.000 0.000 0.000 In
1.905 1.905 2.373 Ni
1.905 1.905 0.000 P
0.000 1.905 2.373 O
1.905 0.000 2.373 O

***

Which is most stable? The ranking, best first, is entry b, entry a.